Compound: HgRhCl6
Source: Alexandria via LeMat-Bulk
Functional: PBE
Structure: relaxed

Cell: 6.428 6.428 6.791 Å, 103.35 103.35 103.04°
Sites, in units of the cell vectors:
Hg (0.000, 0.000, 0.000)
Rh (0.000, 0.000, 0.500)
Cl (0.044, 0.721, 0.233)
Cl (0.260, 0.260, 0.423)
Cl (0.279, 0.956, 0.767)
Cl (0.721, 0.044, 0.233)
Cl (0.740, 0.740, 0.577)
Cl (0.956, 0.279, 0.767)

Values from the calculation:
DOS(E_F) (states/eV/atom): 0.75
Theoretical density (g cm⁻³): 3.38
Total energy (eV per cell): -22.36


Compound: Ho2Er3Th
Source: Alexandria via LeMat-Bulk
Functional: PBE
Structure: relaxed

Cell: 6.111 6.111 14.115 Å, 106.61 106.61 48.30°
Sites, in units of the cell vectors:
Ho (0.002, 0.002, 0.373)
Ho (0.003, 0.003, 0.127)
Ho (0.997, 0.997, 0.873)
Ho (0.998, 0.998, 0.627)
Er (0.330, 0.330, 0.457)
Er (0.333, 0.333, 0.209)
Er (0.334, 0.334, 0.958)
Er (0.666, 0.666, 0.042)
Er (0.667, 0.667, 0.791)
Er (0.670, 0.670, 0.543)
Th (0.333, 0.333, 0.709)
Th (0.667, 0.667, 0.291)

Values from the calculation:
DOS(E_F) (states/eV/atom): 1.50
Theoretical density (g cm⁻³): 9.45
Total energy (eV per cell): -60.11


Compound: SrPdBr
Source: Alexandria via LeMat-Bulk
Functional: PBE
Structure: relaxed

Cell: 5.849 5.849 8.371 Å, 108.96 108.96 43.34°
Sites, in units of the cell vectors:
Sr (0.000, 0.000, 0.000)
Sr (0.174, 0.174, 0.611)
Pd (0.302, 0.302, 0.036)
Pd (0.679, 0.679, 0.889)
Br (0.534, 0.534, 0.303)
Br (0.883, 0.883, 0.601)

Values from the calculation:
Theoretical density (g cm⁻³): 4.94
Total energy (eV per cell): -23.56


Compound: Pu3MnNi8
Source: Alexandria via LeMat-Bulk
Functional: PBE
Structure: relaxed

Cell: 8.602 8.602 8.602 Å, 33.54 33.54 33.54°
Sites, in units of the cell vectors:
Pu (0.000, 0.000, 0.000)
Pu (0.126, 0.126, 0.126)
Pu (0.501, 0.501, 0.501)
Mn (0.626, 0.626, 0.626)
Ni (0.057, 0.563, 0.563)
Ni (0.065, 0.065, 0.568)
Ni (0.065, 0.568, 0.065)
Ni (0.313, 0.313, 0.313)
Ni (0.563, 0.057, 0.563)
Ni (0.563, 0.563, 0.057)
Ni (0.568, 0.065, 0.065)
Ni (0.814, 0.814, 0.814)

Values from the calculation:
DOS(E_F) (states/eV/atom): 2.90
Theoretical density (g cm⁻³): 12.05
Total energy (eV per cell): -100.59